! CdNi2Ru PBE optimized geometry; values from VASP
&SYSTEM
  ibrav = 0, nat = 4, ntyp = 3
/
ATOMIC_SPECIES
Cd 112.41 Cd.upf
Ni 58.69 Ni.upf
Ru 101.07 Ru.upf
ATOMIC_POSITIONS crystal
Cd 0.000 0.000 0.000
Ni 0.250 0.250 0.250
Ni 0.500 0.500 0.500
Ru 0.750 0.750 0.750
CELL_PARAMETERS angstrom
0.000 3.050 3.050
3.050 0.000 3.050
3.050 3.050 0.000
! - DOS(E_F) (states/eV/cell) = 5.3
! - formation energy (kcal/mol of atoms) = 8.8


! CdNiRu PBE optimized geometry; values from VASP
&SYSTEM
  ibrav = 0, nat = 3, ntyp = 3
/
ATOMIC_SPECIES
Cd 112.41 Cd.upf
Ni 58.69 Ni.upf
Ru 101.07 Ru.upf
ATOMIC_POSITIONS crystal
Cd 0.000 0.000 0.000
Ni 0.667 0.333 0.500
Ru 0.333 0.667 0.500
CELL_PARAMETERS angstrom
4.363 0.000 0.000
-2.182 3.779 0.000
0.000 0.000 2.790
! - DOS(E_F) (states/eV/cell) = 4.0
! - formation energy (kcal/mol of atoms) = 8.9
! - energy relative to the lowest polymorph listed for this composition (meV per atom) = 186


! Cd2NiRu PBE optimized geometry; values from VASP
&SYSTEM
  ibrav = 0, nat = 4, ntyp = 3
/
ATOMIC_SPECIES
Cd 112.41 Cd.upf
Ni 58.69 Ni.upf
Ru 101.07 Ru.upf
ATOMIC_POSITIONS crystal
Cd 0.000 0.000 0.000
Cd 0.250 0.250 0.250
Ni 0.500 0.500 0.500
Ru 0.750 0.750 0.750
CELL_PARAMETERS angstrom
0.000 3.195 3.195
3.195 0.000 3.195
3.195 3.195 0.000
! - DOS(E_F) (states/eV/cell) = 6.8
! - formation energy (kcal/mol of atoms) = 8.5


! CdNi2Ru PBE optimized geometry; values from VASP
&SYSTEM
  ibrav = 0, nat = 4, ntyp = 3
/
ATOMIC_SPECIES
Cd 112.41 Cd.upf
Ni 58.69 Ni.upf
Ru 101.07 Ru.upf
ATOMIC_POSITIONS crystal
Cd 0.000 0.000 0.000
Ni 0.250 0.750 0.500
Ni 0.500 0.500 0.000
Ru 0.750 0.250 0.500
CELL_PARAMETERS angstrom
-1.886 1.886 3.937
1.886 -1.886 3.937
1.886 1.886 -3.937
! - DOS(E_F) (states/eV/cell) = 4.4
! - formation energy (kcal/mol of atoms) = 7.3


! Cd2NiRu PBE optimized geometry; values from VASP
&SYSTEM
  ibrav = 0, nat = 4, ntyp = 3
/
ATOMIC_SPECIES
Cd 112.41 Cd.upf
Ni 58.69 Ni.upf
Ru 101.07 Ru.upf
ATOMIC_POSITIONS crystal
Cd 0.000 0.500 0.000
Cd 0.500 0.000 0.000
Ni 0.000 0.000 0.500
Ru 0.500 0.500 0.500
CELL_PARAMETERS angstrom
4.085 0.000 0.000
0.000 4.085 0.000
0.000 0.000 3.906
! - DOS(E_F) (states/eV/cell) = 5.3
! - formation energy (kcal/mol of atoms) = 6.8


! Cd2NiRu PBE optimized geometry; values from VASP
&SYSTEM
  ibrav = 0, nat = 4, ntyp = 3
/
ATOMIC_SPECIES
Cd 112.41 Cd.upf
Ni 58.69 Ni.upf
Ru 101.07 Ru.upf
ATOMIC_POSITIONS crystal
Cd 0.246 0.246 0.246
Cd 0.754 0.754 0.754
Ni 0.500 0.500 0.500
Ru 0.000 0.000 0.000
CELL_PARAMETERS angstrom
1.441 0.832 9.027
-1.441 0.832 9.027
0.000 -1.664 9.027
! - DOS(E_F) (states/eV/cell) = 3.3
! - formation energy (kcal/mol of atoms) = 7.2